Entry from Alexandria: an optimized crystal structure of TlI2O (GGA-PBE).

The structure belongs to space group Fm-3m (No. 225); the cell edges are 7.5745, 7.5745 and 7.5745 Å and the angles 90.00°, 90.00° and 90.00°. The asymmetric unit holds Tl at (0.0000, 0.0000, 0.0000), I at (0.2500, 0.2500, 0.2500) and O at (0.0000, 0.0000, 0.5000).

The value obtained for the total energy is -2.004 eV/atom. The raw formation energy comes out at 0.602 eV/atom.

=====

Entry from Alexandria: an optimized crystal structure of TlI2O (GGA-PBE).

The structure belongs to space group I-42d (No. 122); the cell edges are 6.9291, 6.9291 and 12.4606 Å and the angles 90.00°, 90.00° and 90.00°. The asymmetric unit holds Tl at (0.0000, 0.0000, 0.0000), I at (0.0503, 0.2500, 0.6250) and O at (0.0000, 0.0000, 0.5000).

The value obtained for the total energy is -2.640 eV/atom. The raw formation energy comes out at -0.034 eV/atom.

=====

Entry from Alexandria: an optimized crystal structure of Tl2IO (GGA-PBE).

The structure belongs to space group Fm-3m (No. 225); the cell edges are 7.8434, 7.8434 and 7.8434 Å and the angles 90.00°, 90.00° and 90.00°. The asymmetric unit holds Tl at (0.2500, 0.2500, 0.2500), I at (0.0000, 0.0000, 0.0000) and O at (0.0000, 0.0000, 0.5000).

The value obtained for the total energy is -2.829 eV/atom. The raw formation energy comes out at -0.019 eV/atom.

=====

Entry from Alexandria: an optimized crystal structure of TlI2O2 (GGA-PBE).

The structure belongs to space group P4/mmm (No. 123); the cell edges are 4.2951, 4.2951 and 8.1368 Å and the angles 90.00°, 90.00° and 90.00°. The asymmetric unit holds Tl at (0.0000, 0.0000, 0.0000), I at (0.5000, 0.5000, 0.0000), I at (0.5000, 0.5000, 0.5000) and O at (0.0000, 0.5000, 0.5000).

The value obtained for the total energy is -3.079 eV/atom. The raw formation energy comes out at -0.002 eV/atom.

=====

Entry from Alexandria: an optimized crystal structure of Tl6IO2 (GGA-PBE).

The structure belongs to space group C2/c (No. 15); the cell edges are 13.4979, 13.0150 and 6.9067 Å and the angles 90.00°, 100.93° and 90.00°. The asymmetric unit holds Tl at (0.1230, 0.0555, 0.0440), Tl at (0.1285, 0.4678, 0.4528), Tl at (0.2503, 0.2273, 0.7568), I at (0.0000, 0.2859, 0.7500) and O at (0.2407, 0.0433, 0.7966).

The value obtained for the total energy is -3.311 eV/atom. The raw formation energy comes out at -0.459 eV/atom.

=====

Entry from Alexandria: an optimized crystal structure of Tl2IO (GGA-PBE).

The structure belongs to space group Pnma (No. 62); the cell edges are 7.2057, 6.1551 and 11.1261 Å and the angles 90.00°, 90.00° and 90.00°. The asymmetric unit holds Tl at (0.0864, 0.2500, 0.0613), Tl at (0.1398, 0.2500, 0.6867), I at (0.0993, 0.2500, 0.3870) and O at (0.0518, 0.7500, 0.1557).

The value obtained for the total energy is -3.252 eV/atom. The raw formation energy comes out at -0.441 eV/atom.

=====

Entry from Alexandria: an optimized crystal structure of TlI4O12 (GGA-PBE).

The structure belongs to space group Im-3 (No. 204); the cell edges are 8.0401, 8.0401 and 8.0401 Å and the angles 90.00°, 90.00° and 90.00°. The asymmetric unit holds Tl at (0.0000, 0.0000, 0.0000), I at (0.2500, 0.2500, 0.2500) and O at (0.0000, 0.2080, 0.2707).

The value obtained for the total energy is -4.043 eV/atom. The raw formation energy comes out at -0.040 eV/atom.

=====

Entry from Alexandria: an optimized crystal structure of Tl3IO4 (GGA-PBE).

The structure belongs to space group Pmn2_1 (No. 31); the cell edges are 9.4465, 6.4897 and 6.2261 Å and the angles 90.00°, 90.00° and 90.00°. The asymmetric unit holds Tl at (0.0000, 0.1884, 0.0000), Tl at (0.2386, 0.7029, 0.9849), I at (0.0000, 0.8795, 0.4873), O at (0.0000, 0.1627, 0.4178), O at (0.0000, 0.8371, 0.1714) and O at (0.1719, 0.9350, 0.6482).

The value obtained for the total energy is -4.084 eV/atom. The raw formation energy comes out at -0.523 eV/atom.

=====

Entry from Alexandria: an optimized crystal structure of Tl2I2O5 (GGA-PBE).

The structure belongs to space group C2/m (No. 12); the cell edges are 13.8528, 4.1386 and 6.7652 Å and the angles 90.00°, 99.31° and 90.00°. The asymmetric unit holds Tl at (0.1291, 0.0000, 0.3772), I at (0.1272, 0.5000, 0.8681), O at (0.0000, 0.5000, 0.0000), O at (0.1381, 0.0000, 0.8823) and O at (0.1837, 0.5000, 0.6235).

The value obtained for the total energy is -3.900 eV/atom. The raw formation energy comes out at -0.275 eV/atom.

=====

Entry from Alexandria: an optimized crystal structure of Tl3IO2 (GGA-PBE).

The structure belongs to space group P2_1/m (No. 11); the cell edges are 6.4555, 3.9777 and 14.1456 Å and the angles 90.00°, 94.44° and 90.00°. The asymmetric unit holds Tl at (0.1557, 0.2500, 0.1742), Tl at (0.1653, 0.2500, 0.5666), Tl at (0.3385, 0.2500, 0.9138), I at (0.4159, 0.7500, 0.3568), O at (0.0155, 0.7500, 0.5796) and O at (0.4362, 0.2500, 0.0830).

The value obtained for the total energy is -3.544 eV/atom. The raw formation energy comes out at -0.450 eV/atom.

=====

Entry from Alexandria: an optimized crystal structure of Tl2IO5 (GGA-PBE).

The structure belongs to space group P1 (No. 1); the cell edges are 6.2644, 6.2645 and 6.5315 Å and the angles 63.84°, 63.86° and 61.91°. The asymmetric unit holds Tl at (0.0000, 0.0000, 0.0000), Tl at (0.4926, 0.4962, 0.5155), I at (0.7707, 0.7763, 0.7150), O at (0.0010, 0.6431, 0.4558), O at (0.0333, 0.6229, 0.8475), O at (0.5715, 0.5836, 0.8777), O at (0.6218, 0.0378, 0.8482) and O at (0.6422, 0.0116, 0.4540).

The value obtained for the total energy is -4.196 eV/atom. The raw formation energy comes out at -0.312 eV/atom.